[1]
# Cs2CoNi2 (PBE, relaxed)
data_Cs2CoNi2
_symmetry_space_group_name_H-M 'P 1'
_symmetry_Int_Tables_number 1
_cell_length_a 3.4224
_cell_length_b 3.4224
_cell_length_c 11.7321
_cell_angle_alpha 81.61
_cell_angle_beta 81.61
_cell_angle_gamma 90.00
loop_
_symmetry_equiv_pos_as_xyz
'x,y,z'
loop_
_atom_site_label
_atom_site_type_symbol
_atom_site_fract_x
_atom_site_fract_y
_atom_site_fract_z
Cs1 Cs 0.3821 0.3821 0.2358
Cs2 Cs 0.6179 0.6179 0.7642
Ni1 Ni 0.7500 0.2500 0.5000
Ni2 Ni 0.2500 0.7500 0.5000
Co1 Co 0.0000 0.0000 0.0000
# Energy relative to the elements: 1057 meV per atom
# Raw total energy: -3.019 eV/atom
# Relative energy among the computed polymorphs: 0.000 eV per atom

[2]
# Cs2CoNi2 (PBE, relaxed)
data_Cs2CoNi2
_symmetry_space_group_name_H-M 'P 1'
_symmetry_Int_Tables_number 1
_cell_length_a 9.3949
_cell_length_b 9.3949
_cell_length_c 3.2168
_cell_angle_alpha 90.00
_cell_angle_beta 90.00
_cell_angle_gamma 90.00
loop_
_symmetry_equiv_pos_as_xyz
'x,y,z'
loop_
_atom_site_label
_atom_site_type_symbol
_atom_site_fract_x
_atom_site_fract_y
_atom_site_fract_z
Cs1 Cs 0.3629 0.8629 0.0000
Cs2 Cs 0.8629 0.6371 0.0000
Cs3 Cs 0.6371 0.1371 0.0000
Cs4 Cs 0.1371 0.3629 0.0000
Ni1 Ni 0.1729 0.6729 0.5000
Ni2 Ni 0.6729 0.8271 0.5000
Ni3 Ni 0.8271 0.3271 0.5000
Ni4 Ni 0.3271 0.1729 0.5000
Co1 Co 0.0000 0.0000 0.0000
Co2 Co 0.5000 0.5000 0.0000
# Energy relative to the elements: 1848 meV per atom
# Raw total energy: -2.228 eV/atom
# Relative energy among the computed polymorphs: 0.791 eV per atom

[3]
# Cs3CoNi (PBE, relaxed)
data_Cs3CoNi
_symmetry_space_group_name_H-M 'P 1'
_symmetry_Int_Tables_number 1
_cell_length_a 6.4921
_cell_length_b 6.4921
_cell_length_c 6.4921
_cell_angle_alpha 90.00
_cell_angle_beta 90.00
_cell_angle_gamma 90.00
loop_
_symmetry_equiv_pos_as_xyz
'x,y,z'
loop_
_atom_site_label
_atom_site_type_symbol
_atom_site_fract_x
_atom_site_fract_y
_atom_site_fract_z
Cs1 Cs 0.0000 0.5000 0.0000
Cs2 Cs 0.0000 0.0000 0.5000
Cs3 Cs 0.5000 0.0000 0.0000
Co1 Co 0.5000 0.5000 0.5000
Ni1 Ni 0.0000 0.0000 0.0000
# Energy relative to the elements: 1013 meV per atom
# Raw total energy: -2.077 eV/atom

[4]
# Cs2CoNiSe4 (PBE, relaxed)
data_Cs2CoNiSe4
_symmetry_space_group_name_H-M 'P 1'
_symmetry_Int_Tables_number 1
_cell_length_a 5.7589
_cell_length_b 7.6723
_cell_length_c 12.8541
_cell_angle_alpha 85.18
_cell_angle_beta 77.06
_cell_angle_gamma 67.96
loop_
_symmetry_equiv_pos_as_xyz
'x,y,z'
loop_
_atom_site_label
_atom_site_type_symbol
_atom_site_fract_x
_atom_site_fract_y
_atom_site_fract_z
Cs1 Cs 0.1796 0.0000 0.6409
Cs2 Cs 0.8204 0.0000 0.3591
Cs3 Cs 0.5704 0.5000 0.8591
Cs4 Cs 0.9296 0.5000 0.1409
Co1 Co 0.2500 0.5000 0.5000
Co2 Co 0.5000 0.0000 0.0000
Ni1 Ni 0.7500 0.5000 0.5000
Ni2 Ni 0.0000 0.0000 0.0000
Se1 Se 0.2928 0.8245 0.1022
Se2 Se 0.2195 0.1755 0.8978
Se3 Se 0.8827 0.8245 0.8978
Se4 Se 0.6050 0.1755 0.1022
Se5 Se 0.4572 0.6755 0.3978
Se6 Se 0.5305 0.3245 0.6022
Se7 Se 0.8673 0.6755 0.6022
Se8 Se 0.1450 0.3245 0.3978
# Raw total energy: -4.176 eV/atom
# Formation energy from raw total energies: -610 meV per atom